1.
Ga2SiRh5 | GGA-PBE | optimized geometry

```
data_Ga2SiRh5
_chemical_formula_sum 'Ga4 Si2 Rh10'
_cell_length_a 5.341
_cell_length_b 10.155
_cell_length_c 4.091
_cell_angle_alpha 90.00
_cell_angle_beta 90.00
_cell_angle_gamma 90.00
_space_group_name_H-M_alt 'P 1'
_space_group_IT_number 1
loop_
_space_group_symop_operation_xyz
'x,y,z'
loop_
_atom_site_label
_atom_site_type_symbol
_atom_site_fract_x
_atom_site_fract_y
_atom_site_fract_z
_atom_site_occupancy
Ga1 Ga 0.132 0.141 0.000 1
Ga2 Ga 0.368 0.641 0.000 1
Ga3 Ga 0.632 0.359 0.000 1
Ga4 Ga 0.868 0.859 0.000 1
Si1 Si 0.000 0.500 0.500 1
Si2 Si 0.500 0.000 0.500 1
Rh1 Rh 0.000 0.000 0.500 1
Rh2 Rh 0.135 0.724 0.500 1
Rh3 Rh 0.164 0.395 0.000 1
Rh4 Rh 0.336 0.895 0.000 1
Rh5 Rh 0.365 0.224 0.500 1
Rh6 Rh 0.500 0.500 0.500 1
Rh7 Rh 0.635 0.776 0.500 1
Rh8 Rh 0.664 0.105 0.000 1
Rh9 Rh 0.836 0.605 0.000 1
Rh10 Rh 0.865 0.276 0.500 1
```

ΔE_f (raw)   -0.647 eV per atom

=====

2.
CaSiOs2 | GGA-PBE | optimized geometry

```
data_CaSiOs2
_chemical_formula_sum 'Ca1 Si1 Os2'
_cell_length_a 2.965
_cell_length_b 3.784
_cell_length_c 6.221
_cell_angle_alpha 90.00
_cell_angle_beta 101.96
_cell_angle_gamma 90.00
_space_group_name_H-M_alt 'P 1'
_space_group_IT_number 1
loop_
_space_group_symop_operation_xyz
'x,y,z'
loop_
_atom_site_label
_atom_site_type_symbol
_atom_site_fract_x
_atom_site_fract_y
_atom_site_fract_z
_atom_site_occupancy
Ca1 Ca 0.000 0.000 0.000 1
Si1 Si 0.000 0.000 0.500 1
Os1 Os 0.364 0.500 0.692 1
Os2 Os 0.636 0.500 0.308 1
```

ΔE_f (raw)   0.221 eV per atom

=====

3.
LiLaH6Pd | GGA-PBE | optimized geometry

```
data_LiLaH6Pd
_chemical_formula_sum 'Li1 La1 H6 Pd1'
_cell_length_a 4.567
_cell_length_b 4.567
_cell_length_c 4.646
_cell_angle_alpha 90.00
_cell_angle_beta 90.00
_cell_angle_gamma 120.00
_space_group_name_H-M_alt 'P 1'
_space_group_IT_number 1
loop_
_space_group_symop_operation_xyz
'x,y,z'
loop_
_atom_site_label
_atom_site_type_symbol
_atom_site_fract_x
_atom_site_fract_y
_atom_site_fract_z
_atom_site_occupancy
Li1 Li 0.000 0.000 0.000 1
La1 La 0.667 0.333 0.500 1
H1 H 0.171 0.342 0.260 1
H2 H 0.171 0.342 0.740 1
H3 H 0.171 0.829 0.260 1
H4 H 0.171 0.829 0.740 1
H5 H 0.658 0.829 0.260 1
H6 H 0.658 0.829 0.740 1
Pd1 Pd 0.333 0.667 0.000 1
```

Total DFT energy (no corrections)   -3.900 eV/atom